No. 1
Computed, not measured: a relaxed structure of NaNbW at the PBE level of DFT.

a = 4.9610 Å, b = 4.9610 Å, c = 2.5662 Å
α = 90.00°, β = 90.00°, γ = 120.00°
Fractional coordinates of all 3 atoms:
1 Na 0.0000 0.0000 0.0000
2 Nb 0.6667 0.3333 0.7789
3 W 0.3333 0.6667 0.3368

offset from the most stable computed form	1.623	eV/f.u.
ΔE_f	0.808	eV/atom
calculated density	9.1	g/cm3
M_tot	0.00	Bohr magnetons per cell


No. 2
Computed, not measured: a relaxed structure of NaNbW at the PBE level of DFT.

a = 2.7857 Å, b = 4.4816 Å, c = 10.1300 Å
α = 90.00°, β = 97.48°, γ = 90.00°
Fractional coordinates of all 6 atoms:
1 Na 0.1971 0.2500 0.3969
2 Na 0.8029 0.7500 0.6031
3 Nb 0.4452 0.2500 0.8088
4 Nb 0.5548 0.7500 0.1912
5 W 0.1357 0.7500 0.9366
6 W 0.8643 0.2500 0.0634

offset from the most stable computed form	0.578	eV/f.u.
ΔE_f	0.459	eV/atom
calculated density	7.9	g/cm3
M_tot	0.00	Bohr magnetons per cell


No. 3
Computed, not measured: a relaxed structure of NaNb3W at the PBE level of DFT.

a = 4.9668 Å, b = 4.9668 Å, c = 4.9668 Å
α = 90.00°, β = 90.00°, γ = 90.00°
Fractional coordinates of all 5 atoms:
1 Na 0.0000 0.0000 0.0000
2 Nb 0.0000 0.5000 0.5000
3 Nb 0.5000 0.0000 0.5000
4 Nb 0.5000 0.5000 0.0000
5 W 0.5000 0.5000 0.5000

offset from the most stable computed form	0.000	eV/f.u.
ΔE_f	1.325	eV/atom
calculated density	6.6	g/cm3
M_tot	0.00	Bohr magnetons per cell


No. 4
Computed, not measured: a relaxed structure of NaNbW at the PBE level of DFT.

a = 2.7998 Å, b = 2.7999 Å, c = 16.0967 Å
α = 87.22°, β = 87.33°, γ = 69.92°
Fractional coordinates of all 6 atoms:
1 Na 0.0000 0.0000 0.0000
2 Na 0.3994 0.4119 0.2019
3 Nb 0.0723 0.0764 0.6649
4 Nb 0.5414 0.5427 0.8152
5 W 0.6117 0.6187 0.5181
6 W 0.8912 0.9015 0.3747

offset from the most stable computed form	0.369	eV/f.u.
ΔE_f	0.390	eV/atom
calculated density	8.4	g/cm3
M_tot	0.00	Bohr magnetons per cell